# PBE-GGA Sr12InAg5, relaxed
data_Sr12InAg5
_cell_length_a 10.613
_cell_length_b 10.964
_cell_length_c 11.859
_cell_angle_alpha 90.00
_cell_angle_beta 90.00
_cell_angle_gamma 90.00
_space_group_name_H-M_alt 'I m m m'
_space_group_IT_number 71
_space_group_name_Hall '-I 2 2'
loop_
_atom_site_label
_atom_site_fract_x
_atom_site_fract_y
_atom_site_fract_z
Sr1 0.000 0.190 0.244
Sr2 0.197 0.500 0.167
Sr3 0.220 0.319 0.500
In1 0.000 0.000 0.500
Ag1 0.000 0.000 0.000
Ag2 0.000 0.339 0.000
Ag3 0.000 0.500 0.377
# final energy	-82.56	eV/cell
# ΔH_f (0 K)	-4.10	eV/f.u.